Ho2Co3Ge5: relaxed, PBE.

Summary:
- Space group: Ibam, No. 72
- M_tot: 0.54 μB/f.u.

Lattice parameters (Å, degrees): 8.106 8.106 8.106 106.68 87.97 138.45
Element x y z (fractional)
Ho 0.139 0.232 0.371
Ho 0.361 0.732 0.093
Ho 0.639 0.268 0.907
Ho 0.861 0.768 0.629
Co 0.141 0.896 0.037
Co 0.250 0.750 0.500
Co 0.359 0.396 0.755
Co 0.641 0.604 0.245
Co 0.750 0.250 0.500
Co 0.859 0.104 0.963
Ge 0.027 0.750 0.277
Ge 0.092 0.667 0.759
Ge 0.250 0.250 0.000
Ge 0.408 0.167 0.575
Ge 0.473 0.750 0.723
Ge 0.527 0.250 0.277
Ge 0.592 0.833 0.425
Ge 0.750 0.750 0.000
Ge 0.908 0.333 0.241
Ge 0.973 0.250 0.723

---

HoLuCoGe2: relaxed, PBE.

Summary:
- Space group: C2/m, No. 12
- M_tot: 0.01 μB/f.u.
- E above lowest polymorph: 0.004 eV/atom

Lattice parameters (Å, degrees): 5.555 5.555 10.086 115.32 115.32 44.03
Element x y z (fractional)
Ho 0.004 0.004 0.331
Ho 0.996 0.996 0.669
Lu 0.187 0.187 0.116
Lu 0.813 0.813 0.884
Co 0.276 0.276 0.659
Co 0.724 0.724 0.341
Ge 0.343 0.343 0.438
Ge 0.483 0.483 0.120
Ge 0.517 0.517 0.880
Ge 0.657 0.657 0.562

---

HoLuCoGe2: relaxed, PBE.

Summary:
- Space group: C2/m, No. 12
- M_tot: 0.00 μB/f.u.
- E above lowest polymorph: 0.000 eV/atom

Lattice parameters (Å, degrees): 5.554 5.554 10.071 115.32 115.32 44.04
Element x y z (fractional)
Ho 0.188 0.188 0.115
Ho 0.812 0.812 0.885
Lu 0.007 0.007 0.334
Lu 0.993 0.993 0.666
Co 0.275 0.275 0.650
Co 0.725 0.725 0.350
Ge 0.346 0.346 0.438
Ge 0.484 0.484 0.124
Ge 0.516 0.516 0.876
Ge 0.654 0.654 0.562

---

Ho2CoGe4Pt: relaxed, PBE.

Summary:
- Space group: Amm2, No. 38
- M_tot: 0.00 μB/f.u.

Lattice parameters (Å, degrees): 4.285 4.098 17.026 90.00 90.00 90.00
Element x y z (fractional)
Ho 0.000 0.000 0.000
Ho 0.000 0.500 0.500
Ho 0.500 0.000 0.212
Ho 0.500 0.500 0.712
Co 0.000 0.000 0.784
Co 0.000 0.500 0.284
Ge 0.000 0.000 0.350
Ge 0.000 0.000 0.650
Ge 0.000 0.500 0.150
Ge 0.000 0.500 0.850
Ge 0.500 0.000 0.574
Ge 0.500 0.000 0.844
Ge 0.500 0.500 0.074
Ge 0.500 0.500 0.344
Pt 0.500 0.000 0.432
Pt 0.500 0.500 0.932

---

HoCo2SiGe: relaxed, PBE.

Summary:
- Space group: I4mm, No. 107
- M_tot: 0.01 μB/f.u.

Lattice parameters (Å, degrees): 3.912 3.912 9.886 90.00 90.00 90.00
Element x y z (fractional)
Ho 0.000 0.000 0.000
Ho 0.500 0.500 0.500
Co 0.000 0.500 0.244
Co 0.000 0.500 0.744
Co 0.500 0.000 0.244
Co 0.500 0.000 0.744
Si 0.000 0.000 0.630
Si 0.500 0.500 0.130
Ge 0.000 0.000 0.375
Ge 0.500 0.500 0.875

---

TbHoCo2Ge4: relaxed, PBE.

Summary:
- Space group: Amm2, No. 38
- M_tot: 0.00 μB/f.u.

Lattice parameters (Å, degrees): 4.153 4.129 16.525 90.00 90.00 90.00
Element x y z (fractional)
Tb 0.000 0.000 0.000
Tb 0.000 0.500 0.500
Ho 0.500 0.000 0.782
Ho 0.500 0.500 0.282
Co 0.000 0.000 0.210
Co 0.000 0.500 0.710
Co 0.500 0.000 0.572
Co 0.500 0.500 0.072
Ge 0.000 0.000 0.347
Ge 0.000 0.000 0.641
Ge 0.000 0.500 0.141
Ge 0.000 0.500 0.847
Ge 0.500 0.000 0.142
Ge 0.500 0.000 0.436
Ge 0.500 0.500 0.642
Ge 0.500 0.500 0.936

---

YHoCo2Ge4: relaxed, PBE.

Summary:
- Space group: Amm2, No. 38
- M_tot: 0.00 μB/f.u.

Lattice parameters (Å, degrees): 4.155 4.137 16.564 90.00 90.00 90.00
Element x y z (fractional)
Y 0.000 0.000 0.000
Y 0.000 0.500 0.500
Ho 0.500 0.000 0.782
Ho 0.500 0.500 0.282
Co 0.000 0.000 0.210
Co 0.000 0.500 0.710
Co 0.500 0.000 0.572
Co 0.500 0.500 0.072
Ge 0.000 0.000 0.346
Ge 0.000 0.000 0.641
Ge 0.000 0.500 0.141
Ge 0.000 0.500 0.846
Ge 0.500 0.000 0.142
Ge 0.500 0.000 0.436
Ge 0.500 0.500 0.642
Ge 0.500 0.500 0.936

---

InCo3Ge5: relaxed, PBE.

Summary:
- Space group: P6/mmm, No. 191
- M_tot: 0.00 μB/f.u.

Lattice parameters (Å, degrees): 4.900 4.900 7.329 90.00 90.00 120.00
Element x y z (fractional)
In 0.000 0.000 0.000
Co 0.000 0.500 0.500
Co 0.500 0.000 0.500
Co 0.500 0.500 0.500
Ge 0.000 0.000 0.500
Ge 0.333 0.667 0.227
Ge 0.333 0.667 0.773
Ge 0.667 0.333 0.227
Ge 0.667 0.333 0.773

---

In2CoGe: relaxed, PBE.

Summary:
- Space group: F-43m, No. 216
- M_tot: 0.99 μB/f.u.

Lattice parameters (Å, degrees): 6.740 6.740 6.740 90.00 90.00 90.00
Element x y z (fractional)
In 0.000 0.000 0.000
In 0.000 0.500 0.500
In 0.250 0.250 0.250
In 0.250 0.750 0.750
In 0.500 0.000 0.500
In 0.500 0.500 0.000
In 0.750 0.250 0.750
In 0.750 0.750 0.250
Co 0.250 0.250 0.750
Co 0.250 0.750 0.250
Co 0.750 0.250 0.250
Co 0.750 0.750 0.750
Ge 0.000 0.000 0.500
Ge 0.000 0.500 0.000
Ge 0.500 0.000 0.000
Ge 0.500 0.500 0.500

---

Lu4InCo2Ge4: relaxed, PBE.

Summary:
- Space group: C2/m, No. 12
- M_tot: 1.58 μB/f.u.

Lattice parameters (Å, degrees): 7.885 7.885 6.892 107.22 107.22 30.66
Element x y z (fractional)
Lu 0.091 0.091 0.392
Lu 0.155 0.155 0.939
Lu 0.845 0.845 0.061
Lu 0.909 0.909 0.608
In 0.500 0.500 0.000
Co 0.279 0.279 0.369
Co 0.721 0.721 0.631
Ge 0.297 0.297 0.735
Ge 0.432 0.432 0.338
Ge 0.568 0.568 0.662
Ge 0.703 0.703 0.265

---

MgInCoGe: relaxed, PBE.

Summary:
- Space group: F-43m, No. 216
- M_tot: 0.03 μB/f.u.
- E above lowest polymorph: 0.000 eV/atom

Lattice parameters (Å, degrees): 6.432 6.432 6.432 90.00 90.00 90.00
Element x y z (fractional)
Mg 0.000 0.000 0.000
Mg 0.000 0.500 0.500
Mg 0.500 0.000 0.500
Mg 0.500 0.500 0.000
In 0.250 0.250 0.750
In 0.250 0.750 0.250
In 0.750 0.250 0.250
In 0.750 0.750 0.750
Co 0.000 0.000 0.500
Co 0.000 0.500 0.000
Co 0.500 0.000 0.000
Co 0.500 0.500 0.500
Ge 0.250 0.250 0.250
Ge 0.250 0.750 0.750
Ge 0.750 0.250 0.750
Ge 0.750 0.750 0.250

---

Pr4InCo2Ge4: relaxed, PBE.

Summary:
- Space group: C2/m, No. 12
- M_tot: 0.03 μB/f.u.

Lattice parameters (Å, degrees): 8.275 8.275 7.267 106.41 106.41 30.31
Element x y z (fractional)
Pr 0.089 0.089 0.378
Pr 0.155 0.155 0.944
Pr 0.845 0.845 0.056
Pr 0.911 0.911 0.622
In 0.500 0.500 0.000
Co 0.282 0.282 0.378
Co 0.718 0.718 0.622
Ge 0.286 0.286 0.714
Ge 0.431 0.431 0.346
Ge 0.569 0.569 0.654
Ge 0.714 0.714 0.286

---

Sm4InCo2Ge4: relaxed, PBE.

Summary:
- Space group: C2/m, No. 12
- M_tot: 0.15 μB/f.u.

Lattice parameters (Å, degrees): 8.154 8.154 7.144 106.61 106.61 30.41
Element x y z (fractional)
Sm 0.089 0.089 0.384
Sm 0.155 0.155 0.942
Sm 0.845 0.845 0.058
Sm 0.911 0.911 0.616
In 0.500 0.500 0.000
Co 0.280 0.280 0.376
Co 0.720 0.720 0.624
Ge 0.289 0.289 0.721
Ge 0.431 0.431 0.343
Ge 0.569 0.569 0.657
Ge 0.711 0.711 0.279

---

Co2GeIr: relaxed, PBE.

Summary:
- Space group: F-43m, No. 216
- M_tot: 3.24 μB/f.u.

Lattice parameters (Å, degrees): 5.890 5.890 5.890 90.00 90.00 90.00
Element x y z (fractional)
Co 0.000 0.000 0.000
Co 0.000 0.500 0.500
Co 0.250 0.250 0.250
Co 0.250 0.750 0.750
Co 0.500 0.000 0.500
Co 0.500 0.500 0.000
Co 0.750 0.250 0.750
Co 0.750 0.750 0.250
Ge 0.000 0.000 0.500
Ge 0.000 0.500 0.000
Ge 0.500 0.000 0.000
Ge 0.500 0.500 0.500
Ir 0.250 0.250 0.750
Ir 0.250 0.750 0.250
Ir 0.750 0.250 0.250
Ir 0.750 0.750 0.750

---

CoGeIr2: relaxed, PBE.

Summary:
- Space group: F-43m, No. 216
- M_tot: 2.38 μB/f.u.

Lattice parameters (Å, degrees): 6.063 6.063 6.063 90.00 90.00 90.00
Element x y z (fractional)
Co 0.000 0.000 0.000
Co 0.000 0.500 0.500
Co 0.500 0.000 0.500
Co 0.500 0.500 0.000
Ge 0.250 0.250 0.750
Ge 0.250 0.750 0.250
Ge 0.750 0.250 0.250
Ge 0.750 0.750 0.750
Ir 0.000 0.000 0.500
Ir 0.000 0.500 0.000
Ir 0.250 0.250 0.250
Ir 0.250 0.750 0.750
Ir 0.500 0.000 0.000
Ir 0.500 0.500 0.500
Ir 0.750 0.250 0.750
Ir 0.750 0.750 0.250

---

CoGe3Ir: relaxed, PBE.

Summary:
- Space group: I4mm, No. 107
- M_tot: 0.08 μB/f.u.

Lattice parameters (Å, degrees): 4.187 4.187 10.776 90.00 90.00 90.00
Element x y z (fractional)
Co 0.000 0.000 0.000
Co 0.500 0.500 0.500
Ge 0.000 0.000 0.535
Ge 0.000 0.500 0.375
Ge 0.000 0.500 0.875
Ge 0.500 0.000 0.375
Ge 0.500 0.000 0.875
Ge 0.500 0.500 0.035
Ir 0.000 0.000 0.756
Ir 0.500 0.500 0.256

---

CoGeIr: relaxed, PBE.

Summary:
- Space group: F-43m, No. 216
- M_tot: 0.70 μB/f.u.

Lattice parameters (Å, degrees): 5.637 5.637 5.637 90.00 90.00 90.00
Element x y z (fractional)
Co 0.000 0.000 0.000
Co 0.000 0.500 0.500
Co 0.500 0.000 0.500
Co 0.500 0.500 0.000
Ge 0.250 0.250 0.250
Ge 0.250 0.750 0.750
Ge 0.750 0.250 0.750
Ge 0.750 0.750 0.250
Ir 0.000 0.000 0.500
Ir 0.000 0.500 0.000
Ir 0.500 0.000 0.000
Ir 0.500 0.500 0.500

---

Li4CoGe2Ir: relaxed, PBE.

Summary:
- Space group: P-4m2, No. 115
- M_tot: 0.04 μB/f.u.

Lattice parameters (Å, degrees): 4.154 4.154 5.858 90.00 90.00 90.00
Element x y z (fractional)
Li 0.000 0.000 0.000
Li 0.000 0.500 0.738
Li 0.500 0.000 0.262
Li 0.500 0.500 0.500
Co 0.000 0.000 0.500
Ge 0.000 0.500 0.259
Ge 0.500 0.000 0.741
Ir 0.500 0.500 0.000

---

Li2Zr2CoGe2Ir: relaxed, PBE.

Summary:
- Space group: P-4m2, No. 115
- M_tot: 0.00 μB/f.u.

Lattice parameters (Å, degrees): 4.360 4.360 6.195 90.00 90.00 90.00
Element x y z (fractional)
Li 0.000 0.000 0.000
Li 0.500 0.500 0.500
Zr 0.000 0.500 0.238
Zr 0.500 0.000 0.762
Co 0.500 0.500 0.000
Ge 0.000 0.500 0.757
Ge 0.500 0.000 0.243
Ir 0.000 0.000 0.500

---

NbCoGeIr: relaxed, PBE.

Summary:
- Space group: F-43m, No. 216
- M_tot: 0.01 μB/f.u.
- E above lowest polymorph: 0.108 eV/atom

Lattice parameters (Å, degrees): 6.191 6.191 6.191 90.00 90.00 90.00
Element x y z (fractional)
Nb 0.000 0.000 0.000
Nb 0.000 0.500 0.500
Nb 0.500 0.000 0.500
Nb 0.500 0.500 0.000
Co 0.000 0.000 0.500
Co 0.000 0.500 0.000
Co 0.500 0.000 0.000
Co 0.500 0.500 0.500
Ge 0.250 0.250 0.250
Ge 0.250 0.750 0.750
Ge 0.750 0.250 0.750
Ge 0.750 0.750 0.250
Ir 0.250 0.250 0.750
Ir 0.250 0.750 0.250
Ir 0.750 0.250 0.250
Ir 0.750 0.750 0.750

---

NbCoGeIr: relaxed, PBE.

Summary:
- Space group: F-43m, No. 216
- M_tot: 1.39 μB/f.u.
- E above lowest polymorph: 0.000 eV/atom

Lattice parameters (Å, degrees): 6.180 6.180 6.180 90.00 90.00 90.00
Element x y z (fractional)
Nb 0.000 0.000 0.000
Nb 0.000 0.500 0.500
Nb 0.500 0.000 0.500
Nb 0.500 0.500 0.000
Co 0.250 0.250 0.750
Co 0.250 0.750 0.250
Co 0.750 0.250 0.250
Co 0.750 0.750 0.750
Ge 0.000 0.000 0.500
Ge 0.000 0.500 0.000
Ge 0.500 0.000 0.000
Ge 0.500 0.500 0.500
Ir 0.250 0.250 0.250
Ir 0.250 0.750 0.750
Ir 0.750 0.250 0.750
Ir 0.750 0.750 0.250

---

Nd2CoGe4Ir: relaxed, PBE.

Summary:
- Space group: Amm2, No. 38
- M_tot: 0.00 μB/f.u.

Lattice parameters (Å, degrees): 4.312 4.292 16.958 90.00 90.00 90.00
Element x y z (fractional)
Nd 0.000 0.000 0.000
Nd 0.000 0.500 0.500
Nd 0.500 0.000 0.215
Nd 0.500 0.500 0.715
Co 0.500 0.000 0.427
Co 0.500 0.500 0.927
Ge 0.000 0.000 0.365
Ge 0.000 0.000 0.646
Ge 0.000 0.500 0.146
Ge 0.000 0.500 0.865
Ge 0.500 0.000 0.561
Ge 0.500 0.000 0.864
Ge 0.500 0.500 0.061
Ge 0.500 0.500 0.364
Ir 0.000 0.000 0.788
Ir 0.000 0.500 0.288

---

| no. | VASP energy (eV/atom) |
| --- | --- |
| 1 | -5.937 |
| 2 | -5.840 |
| 3 | -5.843 |
| 4 | -5.807 |
| 5 | -6.488 |
| 6 | -5.873 |
| 7 | -6.100 |
| 8 | -5.245 |
| 9 | -3.822 |
| 10 | -5.563 |
| 11 | -3.827 |
| 12 | -5.615 |
| 13 | -5.634 |
| 14 | -6.939 |
| 15 | -7.115 |
| 16 | -5.580 |
| 17 | -6.839 |
| 18 | -4.436 |
| 19 | -6.399 |
| 20 | -7.698 |
| 21 | -7.807 |
| 22 | -6.211 |